Entry 1:
# Co2NiPt

An optimized crystal structure of Co2NiPt (PBEsol, Alexandria).

Geometry as CIF:
```
data_Co2NiPt
_symmetry_space_group_name_H-M 'P 1'
_symmetry_Int_Tables_number 1
_cell_length_a 4.440
_cell_length_b 4.440
_cell_length_c 4.440
_cell_angle_alpha 132.49
_cell_angle_beta 132.49
_cell_angle_gamma 69.46
loop_
_symmetry_equiv_pos_as_xyz
'x,y,z'
loop_
_atom_site_label
_atom_site_fract_x
_atom_site_fract_y
_atom_site_fract_z
Co1 0.250 0.750 0.500
Co2 0.750 0.250 0.500
Ni1 0.000 0.000 0.000
Pt1 0.500 0.500 0.000
```

Output
As for the density of states at the Fermi level: 1.1015 states/eV per atom. Its space group is I4/mmm, No. 139. For the total DFT energy (no corrections), the calculation gives -28.80 eV per cell.

Entry 2:
# Co2NiPt

An optimized crystal structure of Co2NiPt (PBEsol, Alexandria).

Geometry as CIF:
```
data_Co2NiPt
_symmetry_space_group_name_H-M 'P 1'
_symmetry_Int_Tables_number 1
_cell_length_a 4.409
_cell_length_b 4.409
_cell_length_c 4.370
_cell_angle_alpha 100.10
_cell_angle_beta 100.10
_cell_angle_gamma 34.20
loop_
_symmetry_equiv_pos_as_xyz
'x,y,z'
loop_
_atom_site_label
_atom_site_fract_x
_atom_site_fract_y
_atom_site_fract_z
Co1 0.248 0.248 0.236
Co2 0.752 0.752 0.764
Ni1 0.500 0.500 0.000
Pt1 0.000 0.000 0.500
```

Output
As for the density of states at the Fermi level: 1.0160 states/eV per atom. Its space group is C2/m, No. 12. For the total DFT energy (no corrections), the calculation gives -28.67 eV per cell.

Entry 3:
# Co2NiPt

An optimized crystal structure of Co2NiPt (PBEsol, Alexandria).

Geometry as CIF:
```
data_Co2NiPt
_symmetry_space_group_name_H-M 'P 1'
_symmetry_Int_Tables_number 1
_cell_length_a 2.584
_cell_length_b 2.584
_cell_length_c 7.023
_cell_angle_alpha 90.00
_cell_angle_beta 90.00
_cell_angle_gamma 90.00
loop_
_symmetry_equiv_pos_as_xyz
'x,y,z'
loop_
_atom_site_label
_atom_site_fract_x
_atom_site_fract_y
_atom_site_fract_z
Co1 0.000 0.000 0.234
Co2 0.000 0.000 0.766
Ni1 0.500 0.500 0.000
Pt1 0.500 0.500 0.500
```

Output
As for the density of states at the Fermi level: 1.2972 states/eV per atom. Its space group is P4/mmm, No. 123. For the total DFT energy (no corrections), the calculation gives -28.54 eV per cell.

Entry 4:
# Co2NiPt

An optimized crystal structure of Co2NiPt (PBEsol, Alexandria).

Geometry as CIF:
```
data_Co2NiPt
_symmetry_space_group_name_H-M 'P 1'
_symmetry_Int_Tables_number 1
_cell_length_a 2.583
_cell_length_b 3.507
_cell_length_c 5.164
_cell_angle_alpha 90.00
_cell_angle_beta 90.00
_cell_angle_gamma 90.00
loop_
_symmetry_equiv_pos_as_xyz
'x,y,z'
loop_
_atom_site_label
_atom_site_fract_x
_atom_site_fract_y
_atom_site_fract_z
Co1 0.000 0.000 0.000
Co2 0.500 0.500 0.229
Ni1 0.000 0.000 0.462
Pt1 0.500 0.500 0.731
```

Output
As for the density of states at the Fermi level: 1.1234 states/eV per atom. Its space group is Pmm2, No. 25. For the total DFT energy (no corrections), the calculation gives -28.71 eV per cell.

Entry 5:
# CoNiPt2

An optimized crystal structure of CoNiPt2 (PBEsol, Alexandria).

Geometry as CIF:
```
data_CoNiPt2
_symmetry_space_group_name_H-M 'P 1'
_symmetry_Int_Tables_number 1
_cell_length_a 4.496
_cell_length_b 4.496
_cell_length_c 2.668
_cell_angle_alpha 90.00
_cell_angle_beta 90.00
_cell_angle_gamma 107.05
loop_
_symmetry_equiv_pos_as_xyz
'x,y,z'
loop_
_atom_site_label
_atom_site_fract_x
_atom_site_fract_y
_atom_site_fract_z
Co1 0.000 0.000 0.000
Ni1 0.500 0.500 0.000
Pt1 0.000 0.500 0.500
Pt2 0.500 0.000 0.500
```

Output
As for the density of states at the Fermi level: 1.2038 states/eV per atom. Its space group is Cmmm, No. 65. For the total DFT energy (no corrections), the calculation gives -28.12 eV per cell.

Entry 6:
# Co2NiPt

An optimized crystal structure of Co2NiPt (PBEsol, Alexandria).

Geometry as CIF:
```
data_Co2NiPt
_symmetry_space_group_name_H-M 'P 1'
_symmetry_Int_Tables_number 1
_cell_length_a 2.575
_cell_length_b 3.574
_cell_length_c 5.089
_cell_angle_alpha 90.00
_cell_angle_beta 90.00
_cell_angle_gamma 90.00
loop_
_symmetry_equiv_pos_as_xyz
'x,y,z'
loop_
_atom_site_label
_atom_site_fract_x
_atom_site_fract_y
_atom_site_fract_z
Co1 0.000 0.000 0.230
Co2 0.000 0.000 0.770
Ni1 0.500 0.500 0.000
Pt1 0.500 0.500 0.500
```

Output
As for the density of states at the Fermi level: 1.0656 states/eV per atom. Its space group is Pmmm, No. 47. For the total DFT energy (no corrections), the calculation gives -28.71 eV per cell.

Entry 7:
# CoNiPt2

An optimized crystal structure of CoNiPt2 (PBEsol, Alexandria).

Geometry as CIF:
```
data_CoNiPt2
_symmetry_space_group_name_H-M 'P 1'
_symmetry_Int_Tables_number 1
_cell_length_a 4.587
_cell_length_b 4.587
_cell_length_c 4.494
_cell_angle_alpha 100.92
_cell_angle_beta 100.92
_cell_angle_gamma 33.83
loop_
_symmetry_equiv_pos_as_xyz
'x,y,z'
loop_
_atom_site_label
_atom_site_fract_x
_atom_site_fract_y
_atom_site_fract_z
Co1 0.000 0.000 0.000
Ni1 0.261 0.261 0.742
Pt1 0.509 0.509 0.516
Pt2 0.750 0.750 0.224
```

Output
As for the density of states at the Fermi level: 1.2632 states/eV per atom. Its space group is Cm, No. 8. For the total DFT energy (no corrections), the calculation gives -28.05 eV per cell.

Entry 8:
# Co2NiPt

An optimized crystal structure of Co2NiPt (PBEsol, Alexandria).

Geometry as CIF:
```
data_Co2NiPt
_symmetry_space_group_name_H-M 'P 1'
_symmetry_Int_Tables_number 1
_cell_length_a 2.598
_cell_length_b 2.598
_cell_length_c 6.929
_cell_angle_alpha 90.00
_cell_angle_beta 90.00
_cell_angle_gamma 90.00
loop_
_symmetry_equiv_pos_as_xyz
'x,y,z'
loop_
_atom_site_label
_atom_site_fract_x
_atom_site_fract_y
_atom_site_fract_z
Co1 0.000 0.000 0.000
Co2 0.500 0.500 0.227
Ni1 0.000 0.000 0.460
Pt1 0.500 0.500 0.732
```

Output
As for the density of states at the Fermi level: 1.0428 states/eV per atom. Its space group is P4mm, No. 99. For the total DFT energy (no corrections), the calculation gives -28.64 eV per cell.

Entry 9:
# CoNiPt2

An optimized crystal structure of CoNiPt2 (PBEsol, Alexandria).

Geometry as CIF:
```
data_CoNiPt2
_symmetry_space_group_name_H-M 'P 1'
_symmetry_Int_Tables_number 1
_cell_length_a 4.002
_cell_length_b 5.034
_cell_length_c 5.034
_cell_angle_alpha 30.64
_cell_angle_beta 90.00
_cell_angle_gamma 90.00
loop_
_symmetry_equiv_pos_as_xyz
'x,y,z'
loop_
_atom_site_label
_atom_site_fract_x
_atom_site_fract_y
_atom_site_fract_z
Co1 0.000 0.000 0.000
Ni1 0.500 0.867 0.867
Pt1 0.000 0.264 0.264
Pt2 0.500 0.602 0.602
```

Output
As for the density of states at the Fermi level: 1.1431 states/eV per atom. Its space group is Amm2, No. 38. For the total DFT energy (no corrections), the calculation gives -27.94 eV per cell.

Entry 10:
# CoNiPt2

An optimized crystal structure of CoNiPt2 (PBEsol, Alexandria).

Geometry as CIF:
```
data_CoNiPt2
_symmetry_space_group_name_H-M 'P 1'
_symmetry_Int_Tables_number 1
_cell_length_a 4.488
_cell_length_b 2.670
_cell_length_c 4.641
_cell_angle_alpha 90.00
_cell_angle_beta 110.38
_cell_angle_gamma 90.00
loop_
_symmetry_equiv_pos_as_xyz
'x,y,z'
loop_
_atom_site_label
_atom_site_fract_x
_atom_site_fract_y
_atom_site_fract_z
Co1 0.000 0.000 0.000
Ni1 0.000 0.500 0.500
Pt1 0.500 0.000 0.500
Pt2 0.500 0.500 0.000
```

Output
As for the density of states at the Fermi level: 1.2210 states/eV per atom. Its space group is P2/m, No. 10. For the total DFT energy (no corrections), the calculation gives -27.92 eV per cell.

Entry 11:
# CoNi2Pt

An optimized crystal structure of CoNi2Pt (PBEsol, Alexandria).

Geometry as CIF:
```
data_CoNi2Pt
_symmetry_space_group_name_H-M 'P 1'
_symmetry_Int_Tables_number 1
_cell_length_a 2.584
_cell_length_b 3.510
_cell_length_c 5.159
_cell_angle_alpha 90.00
_cell_angle_beta 90.00
_cell_angle_gamma 90.00
loop_
_symmetry_equiv_pos_as_xyz
'x,y,z'
loop_
_atom_site_label
_atom_site_fract_x
_atom_site_fract_y
_atom_site_fract_z
Co1 0.000 0.000 0.000
Ni1 0.500 0.500 0.232
Ni2 0.500 0.500 0.768
Pt1 0.000 0.000 0.500
```

Output
As for the density of states at the Fermi level: 1.1693 states/eV per atom. Its space group is Pmmm, No. 47. For the total DFT energy (no corrections), the calculation gives -27.13 eV per cell.

Entry 12:
# CoNiPt2

An optimized crystal structure of CoNiPt2 (PBEsol, Alexandria).

Geometry as CIF:
```
data_CoNiPt2
_symmetry_space_group_name_H-M 'P 1'
_symmetry_Int_Tables_number 1
_cell_length_a 2.663
_cell_length_b 3.620
_cell_length_c 5.339
_cell_angle_alpha 90.00
_cell_angle_beta 90.00
_cell_angle_gamma 90.00
loop_
_symmetry_equiv_pos_as_xyz
'x,y,z'
loop_
_atom_site_label
_atom_site_fract_x
_atom_site_fract_y
_atom_site_fract_z
Co1 0.000 0.000 0.000
Ni1 0.000 0.000 0.500
Pt1 0.500 0.500 0.249
Pt2 0.500 0.500 0.751
```

Output
As for the density of states at the Fermi level: 1.1227 states/eV per atom. Its space group is Pmmm, No. 47. For the total DFT energy (no corrections), the calculation gives -28.19 eV per cell.

Entry 13:
# CoNi2Pt

An optimized crystal structure of CoNi2Pt (PBEsol, Alexandria).

Geometry as CIF:
```
data_CoNi2Pt
_symmetry_space_group_name_H-M 'P 1'
_symmetry_Int_Tables_number 1
_cell_length_a 8.329
_cell_length_b 8.329
_cell_length_c 8.329
_cell_angle_alpha 17.86
_cell_angle_beta 17.86
_cell_angle_gamma 17.86
loop_
_symmetry_equiv_pos_as_xyz
'x,y,z'
loop_
_atom_site_label
_atom_site_fract_x
_atom_site_fract_y
_atom_site_fract_z
Co1 0.000 0.000 0.000
Ni1 0.256 0.256 0.256
Ni2 0.744 0.744 0.744
Pt1 0.500 0.500 0.500
```

Output
As for the density of states at the Fermi level: 1.1955 states/eV per atom. Its space group is R-3m, No. 166. For the total DFT energy (no corrections), the calculation gives -26.90 eV per cell.

Entry 14:
# Co2NiPt

An optimized crystal structure of Co2NiPt (PBEsol, Alexandria).

Geometry as CIF:
```
data_Co2NiPt
_symmetry_space_group_name_H-M 'P 1'
_symmetry_Int_Tables_number 1
_cell_length_a 4.408
_cell_length_b 4.408
_cell_length_c 2.577
_cell_angle_alpha 90.00
_cell_angle_beta 90.00
_cell_angle_gamma 110.11
loop_
_symmetry_equiv_pos_as_xyz
'x,y,z'
loop_
_atom_site_label
_atom_site_fract_x
_atom_site_fract_y
_atom_site_fract_z
Co1 0.000 0.500 0.000
Co2 0.500 0.000 0.000
Ni1 0.000 0.000 0.500
Pt1 0.500 0.500 0.500
```

Output
As for the density of states at the Fermi level: 1.1118 states/eV per atom. Its space group is Cmmm, No. 65. For the total DFT energy (no corrections), the calculation gives -28.66 eV per cell.

Entry 15:
# CoNi2Pt

An optimized crystal structure of CoNi2Pt (PBEsol, Alexandria).

Geometry as CIF:
```
data_CoNi2Pt
_symmetry_space_group_name_H-M 'P 1'
_symmetry_Int_Tables_number 1
_cell_length_a 4.412
_cell_length_b 4.412
_cell_length_c 4.412
_cell_angle_alpha 131.86
_cell_angle_beta 131.86
_cell_angle_gamma 70.44
loop_
_symmetry_equiv_pos_as_xyz
'x,y,z'
loop_
_atom_site_label
_atom_site_fract_x
_atom_site_fract_y
_atom_site_fract_z
Co1 0.000 0.000 0.000
Ni1 0.250 0.750 0.500
Ni2 0.750 0.250 0.500
Pt1 0.500 0.500 0.000
```

Output
As for the density of states at the Fermi level: 1.3177 states/eV per atom. Its space group is I4/mmm, No. 139. For the total DFT energy (no corrections), the calculation gives -27.21 eV per cell.